<1>
Cd3AgC: relaxed, PBE.

The structure in POSCAR format:
```
Cd3AgC
1.0
-2.577 -0.630 4.610
-3.233 -3.547 -2.292
3.346 -3.912 1.336
C Ag Cd
1 1 3
direct
0.500 0.500 0.500
0.000 0.000 0.000
0.000 0.500 0.000
0.000 0.000 0.500
0.500 0.000 0.000
```

Calculated density, Mg/m³: 5.05
Space-group type: Pm-3m (221)
Density of states at the Fermi level, states/eV/cell: 3.38

<2>
Cd3AgC: relaxed, PBE.

The structure in POSCAR format:
```
Cd3AgC
1.0
4.629 0.000 0.000
0.000 4.629 0.000
0.000 0.000 4.629
C Ag Cd
1 1 3
direct
0.000 0.000 0.000
0.500 0.500 0.500
0.000 0.500 0.000
0.000 0.000 0.500
0.500 0.000 0.000
```

Calculated density, Mg/m³: 7.65
Space-group type: Pm-3m (221)
Density of states at the Fermi level, states/eV/cell: 2.71

Bottom line: <2>, by a margin of 778 meV per atom.

<1>
AgC3Cl: relaxed, PBE.

The structure in POSCAR format:
```
AgC3Cl
1.0
4.260 0.000 0.000
0.000 4.260 0.000
0.000 0.000 4.260
C Ag Cl
3 1 1
direct
0.000 0.500 0.000
0.000 0.000 0.500
0.500 0.000 0.000
0.000 0.000 0.000
0.500 0.500 0.500
```

Calculated density, Mg/m³: 3.85
Space-group type: Pm-3m (221)
Density of states at the Fermi level, states/eV/cell: 4.31

<2>
AgC3Cl: relaxed, PBE.

The structure in POSCAR format:
```
AgC3Cl
1.0
-2.326 1.827 2.565
-2.867 -2.546 -0.786
1.301 -2.346 2.851
C Ag Cl
3 1 1
direct
0.000 0.500 0.000
0.000 0.000 0.500
0.500 0.000 0.000
0.500 0.500 0.500
0.000 0.000 0.000
```

Calculated density, Mg/m³: 4.96
Space-group type: Pm-3m (221)
Density of states at the Fermi level, states/eV/cell: 0.50

Bottom line: <1>, by a margin of 61 meV per atom.

<1>
Ag2CCl: relaxed, PBE.

The structure in POSCAR format:
```
Ag2CCl
1.0
5.952 0.000 0.000
0.000 5.952 0.000
2.976 2.976 4.426
C Ag Cl
2 4 2
direct
0.500 0.500 0.000
0.250 0.750 0.500
0.539 0.125 0.250
0.211 0.625 0.250
0.375 0.461 0.750
0.875 0.789 0.750
0.000 0.000 0.000
0.750 0.250 0.500
```

Calculated density, Mg/m³: 5.57
Space-group type: I-42d (122)
Density of states at the Fermi level, states/eV/cell: 2.45

<2>
Ag2CCl: relaxed, PBE.

The structure in POSCAR format:
```
Ag2CCl
1.0
0.000 3.207 3.207
3.207 0.000 3.207
3.207 3.207 0.000
C Ag Cl
1 2 1
direct
0.000 0.000 0.000
0.250 0.250 0.250
0.750 0.750 0.750
0.500 0.500 0.500
```

Calculated density, Mg/m³: 6.63
Space-group type: Fm-3m (225)
Density of states at the Fermi level, states/eV/cell: 5.27

Bottom line: <1>, by a margin of 560 meV per atom.

<1>
AgP2CCl: relaxed, PBE.

The structure in POSCAR format:
```
AgP2CCl
1.0
4.822 0.000 0.000
0.000 4.822 0.000
0.000 0.000 4.990
P C Ag Cl
2 1 1 1
direct
0.000 0.500 0.000
0.500 0.000 0.000
0.500 0.500 0.500
0.000 0.000 0.000
0.000 0.000 0.500
```

Calculated density, Mg/m³: 3.11
Space-group type: P4/mmm (123)
Density of states at the Fermi level, states/eV/cell: 4.15

<2>
AgP2CCl: relaxed, PBE.

The structure in POSCAR format:
```
AgP2CCl
1.0
-3.535 0.755 -1.203
-1.182 -3.354 1.366
-1.588 3.306 6.740
P C Ag Cl
2 1 1 1
direct
0.000 0.500 0.000
0.500 0.000 0.000
0.000 0.000 0.000
0.500 0.500 0.500
0.000 0.000 0.500
```

Calculated density, Mg/m³: 3.24
Space-group type: P4/mmm (123)
Density of states at the Fermi level, states/eV/cell: 3.64

Bottom line: <2>, by a margin of 1336 meV per atom.

<1>
AgCS2Cl: relaxed, PBE.

The structure in POSCAR format:
```
AgCS2Cl
1.0
-4.042 -2.534 -0.862
0.145 -1.765 4.512
-2.656 3.714 1.538
S C Ag Cl
2 1 1 1
direct
0.000 0.500 0.000
0.500 0.000 0.000
0.500 0.500 0.500
0.000 0.000 0.000
0.000 0.000 0.500
```

Calculated density, Mg/m³: 3.22
Space-group type: P4/mmm (123)
Density of states at the Fermi level, states/eV/cell: 5.21

<2>
AgCS2Cl: relaxed, PBE.

The structure in POSCAR format:
```
AgCS2Cl
1.0
-2.897 1.878 1.722
-1.873 0.198 -3.368
-3.490 -6.796 1.541
S C Ag Cl
2 1 1 1
direct
0.000 0.500 0.000
0.500 0.000 0.000
0.000 0.000 0.000
0.500 0.500 0.500
0.000 0.000 0.500
```

Calculated density, Mg/m³: 3.14
Space-group type: P4/mmm (123)
Density of states at the Fermi level, states/eV/cell: 2.30

Bottom line: <2>, by a margin of 1115 meV per atom.

<1>
AgCSCl2: relaxed, PBE.

The structure in POSCAR format:
```
AgCSCl2
1.0
4.917 0.000 0.000
0.000 4.917 0.000
0.000 0.000 5.047
S C Ag Cl
1 1 1 2
direct
0.000 0.000 0.500
0.500 0.500 0.500
0.000 0.000 0.000
0.000 0.500 0.000
0.500 0.000 0.000
```

Calculated density, Mg/m³: 3.03
Space-group type: P4/mmm (123)
Density of states at the Fermi level, states/eV/cell: 3.18

<2>
AgCSCl2: relaxed, PBE.

The structure in POSCAR format:
```
AgCSCl2
1.0
-3.667 1.298 3.470
1.871 -3.564 3.311
2.187 2.445 1.396
S C Ag Cl
1 1 1 2
direct
0.000 0.000 0.500
0.000 0.000 0.000
0.500 0.500 0.500
0.000 0.500 0.000
0.500 0.000 0.000
```

Calculated density, Mg/m³: 3.82
Space-group type: P4/mmm (123)
Density of states at the Fermi level, states/eV/cell: 4.08

Bottom line: <2>, by a margin of 769 meV per atom.

<1>
CoAgC3: relaxed, PBE.

The structure in POSCAR format:
```
CoAgC3
1.0
-0.770 3.796 1.163
-3.847 -1.005 0.734
0.978 -0.967 3.803
C Co Ag
3 1 1
direct
0.000 0.500 0.000
0.000 0.000 0.500
0.500 0.000 0.000
0.500 0.500 0.500
0.000 0.000 0.000
```

Calculated density, Mg/m³: 5.09
Space-group type: Pm-3m (221)
Density of states at the Fermi level, states/eV/cell: 4.14

<2>
CoAgC3: relaxed, PBE.

The structure in POSCAR format:
```
CoAgC3
1.0
-1.581 -0.100 3.452
0.630 -3.741 0.180
3.395 0.648 1.574
C Co Ag
3 1 1
direct
0.000 0.500 0.000
0.000 0.000 0.500
0.500 0.000 0.000
0.000 0.000 0.000
0.500 0.500 0.500
```

Calculated density, Mg/m³: 6.15
Space-group type: Pm-3m (221)
Density of states at the Fermi level, states/eV/cell: 3.71

Bottom line: <2>, by a margin of 1373 meV per atom.

<1>
CoAg3C: relaxed, PBE.

The structure in POSCAR format:
```
CoAg3C
1.0
4.729 0.000 0.000
0.000 4.729 0.000
0.000 0.000 4.729
C Co Ag
1 1 3
direct
0.500 0.500 0.500
0.000 0.000 0.000
0.000 0.500 0.000
0.000 0.000 0.500
0.500 0.000 0.000
```

Calculated density, Mg/m³: 6.20
Space-group type: Pm-3m (221)
Density of states at the Fermi level, states/eV/cell: 10.50

<2>
CoAg3C: relaxed, PBE.

The structure in POSCAR format:
```
CoAg3C
1.0
-3.883 -1.576 0.795
0.985 -0.339 4.137
-1.465 3.949 0.673
C Co Ag
1 1 3
direct
0.000 0.000 0.000
0.500 0.500 0.500
0.000 0.500 0.000
0.000 0.000 0.500
0.500 0.000 0.000
```

Calculated density, Mg/m³: 8.44
Space-group type: Pm-3m (221)
Density of states at the Fermi level, states/eV/cell: 1.31

Bottom line: <2>, by a margin of 1265 meV per atom.